# 1
CdGaBr2: optimized geometry, PBEsol.

Formation energy (no corrections) = -0.30 eV/atom
Total magnetization = 0.000 μB per atom
E_tot = -28.4 eV per cell

Structure (CIF):
```
data_CdGaBr2
_cell_length_a 3.7729
_cell_length_b 3.7729
_cell_length_c 28.2393
_cell_angle_alpha 90.00
_cell_angle_beta 90.00
_cell_angle_gamma 120.00
_symmetry_space_group_name_H-M 'R -3 m'
_symmetry_Int_Tables_number 166
_symmetry_space_group_name_Hall '-R 3 2"'
loop_
_atom_site_label
_atom_site_type_symbol
_atom_site_fract_x
_atom_site_fract_y
_atom_site_fract_z
_atom_site_occupancy
Cd1 Cd 0.0000 0.0000 0.0000 1
Ga1 Ga 0.0000 0.0000 0.5000 1
Br1 Br 0.0000 0.0000 0.3942 1
```

***

# 2
LiHfTc3: optimized geometry, PBEsol.

Total magnetization = 0.000 μB per atom
E_tot = -41.9 eV per cell
ΔE_f = 0.869 eV per atom

Structure (CIF):
```
data_LiHfTc3
_cell_length_a 4.169
_cell_length_b 4.169
_cell_length_c 4.169
_cell_angle_alpha 90.00
_cell_angle_beta 90.00
_cell_angle_gamma 90.00
_symmetry_space_group_name_H-M 'P m -3 m'
_symmetry_Int_Tables_number 221
_symmetry_space_group_name_Hall '-P 4 2 3'
loop_
_atom_site_label
_atom_site_type_symbol
_atom_site_fract_x
_atom_site_fract_y
_atom_site_fract_z
_atom_site_occupancy
Li1 Li 0.000 0.000 0.000 1
Hf1 Hf 0.500 0.500 0.500 1
Tc1 Tc 0.000 0.000 0.500 1
```

***

# 3
Y2CoRe: optimized geometry, PBEsol.

Total magnetization = 0.094 μB per atom
E_tot = -33.7 eV per cell
ΔE_f = 0.251 eV per atom

Structure (CIF):
```
data_Y2CoRe
_cell_length_a 4.755
_cell_length_b 4.755
_cell_length_c 3.336
_cell_angle_alpha 90.00
_cell_angle_beta 90.00
_cell_angle_gamma 90.00
_symmetry_space_group_name_H-M 'P 4/m m m'
_symmetry_Int_Tables_number 123
_symmetry_space_group_name_Hall '-P 4 2'
loop_
_atom_site_label
_atom_site_type_symbol
_atom_site_fract_x
_atom_site_fract_y
_atom_site_fract_z
_atom_site_occupancy
Y1 Y 0.000 0.500 0.000 1
Co1 Co 0.000 0.000 0.500 1
Re1 Re 0.500 0.500 0.500 1
```